[1]
VASP calculation (GGA-PBE) on crystalline ZnNi2Pd4 at its relaxed geometry.

Structure (CIF):
```
data_ZnNi2Pd4
_chemical_formula_sum 'Zn4 Ni8 Pd16'
_cell_length_a 7.451
_cell_length_b 7.451
_cell_length_c 7.492
_cell_angle_alpha 90.00
_cell_angle_beta 90.00
_cell_angle_gamma 90.00
_symmetry_space_group_name_H-M 'I -4 2 d'
_symmetry_Int_Tables_number 122
_symmetry_space_group_name_Hall 'I -4 2bw'
loop_
_atom_site_label
_atom_site_type_symbol
_atom_site_fract_x
_atom_site_fract_y
_atom_site_fract_z
Zn1 Zn 0.000 0.000 0.000
Ni1 Ni 0.129 0.250 0.625
Pd1 Pd 0.082 0.168 0.298
```

Values from the calculation:
distance to the lowest polymorph of the same formula = 197.3 meV/atom

---

[2]
VASP calculation (GGA-PBE) on crystalline ZnNiPd at its relaxed geometry.

Structure (CIF):
```
data_ZnNiPd
_chemical_formula_sum 'Zn1 Ni1 Pd1'
_cell_length_a 4.153
_cell_length_b 2.670
_cell_length_c 4.341
_cell_angle_alpha 90.00
_cell_angle_beta 102.72
_cell_angle_gamma 90.00
_symmetry_space_group_name_H-M 'P 1 2/m 1'
_symmetry_Int_Tables_number 10
loop_
_symmetry_equiv_pos_as_xyz
'x,y,z'
'-x,-y,-z'
'-x,y,-z'
'x,-y,z'
loop_
_atom_site_label
_atom_site_type_symbol
_atom_site_fract_x
_atom_site_fract_y
_atom_site_fract_z
Zn1 Zn 0.000 0.000 0.000
Ni1 Ni 0.500 0.500 0.000
Pd1 Pd 0.500 0.000 0.500
```

Values from the calculation:
distance to the lowest polymorph of the same formula = 238.3 meV/atom

---

[3]
VASP calculation (GGA-PBE) on crystalline ZnNiPd2 at its relaxed geometry.

Structure (CIF):
```
data_ZnNiPd2
_chemical_formula_sum 'Zn3 Ni3 Pd6'
_cell_length_a 2.7899
_cell_length_b 2.7899
_cell_length_c 25.1417
_cell_angle_alpha 90.00
_cell_angle_beta 90.00
_cell_angle_gamma 120.00
_symmetry_space_group_name_H-M 'R -3 m'
_symmetry_Int_Tables_number 166
_symmetry_space_group_name_Hall '-R 3 2"'
loop_
_atom_site_label
_atom_site_type_symbol
_atom_site_fract_x
_atom_site_fract_y
_atom_site_fract_z
Zn1 Zn 0.0000 0.0000 0.0000
Ni1 Ni 0.0000 0.0000 0.5000
Pd1 Pd 0.0000 0.0000 0.2500
```

---

[4]
VASP calculation (GGA-PBE) on crystalline Zn2NiPd6 at its relaxed geometry.

Structure (CIF):
```
data_Zn2NiPd6
_chemical_formula_sum 'Zn8 Ni4 Pd24'
_cell_length_a 4.033
_cell_length_b 10.703
_cell_length_c 12.143
_cell_angle_alpha 90.00
_cell_angle_beta 90.00
_cell_angle_gamma 90.00
_symmetry_space_group_name_H-M 'F m m m'
_symmetry_Int_Tables_number 69
_symmetry_space_group_name_Hall '-F 2 2'
loop_
_atom_site_label
_atom_site_type_symbol
_atom_site_fract_x
_atom_site_fract_y
_atom_site_fract_z
Zn1 Zn 0.000 0.000 0.162
Ni1 Ni 0.000 0.000 0.500
Pd1 Pd 0.000 0.157 0.333
Pd2 Pd 0.000 0.159 0.000
```

Values from the calculation:
distance to the lowest polymorph of the same formula = 10.7 meV/atom

---

[5]
VASP calculation (GGA-PBE) on crystalline ZnNi3Pd at its relaxed geometry.

Structure (CIF):
```
data_ZnNi3Pd
_chemical_formula_sum 'Zn1 Ni3 Pd1'
_cell_length_a 4.286
_cell_length_b 4.286
_cell_length_c 4.286
_cell_angle_alpha 90.00
_cell_angle_beta 90.00
_cell_angle_gamma 90.00
_symmetry_space_group_name_H-M 'P m -3 m'
_symmetry_Int_Tables_number 221
_symmetry_space_group_name_Hall '-P 4 2 3'
loop_
_atom_site_label
_atom_site_type_symbol
_atom_site_fract_x
_atom_site_fract_y
_atom_site_fract_z
Zn1 Zn 0.000 0.000 0.000
Ni1 Ni 0.000 0.000 0.500
Pd1 Pd 0.500 0.500 0.500
```

Values from the calculation:
distance to the lowest polymorph of the same formula = 0.0 meV/atom

---

[6]
VASP calculation (GGA-PBE) on crystalline ZnNi2Pd3 at its relaxed geometry.

Structure (CIF):
```
data_ZnNi2Pd3
_chemical_formula_sum 'Zn4 Ni8 Pd12'
_cell_length_a 4.329
_cell_length_b 12.981
_cell_length_c 5.860
_cell_angle_alpha 90.00
_cell_angle_beta 90.00
_cell_angle_gamma 90.00
_symmetry_space_group_name_H-M 'C m m m'
_symmetry_Int_Tables_number 65
_symmetry_space_group_name_Hall '-C 2 2'
loop_
_atom_site_label
_atom_site_type_symbol
_atom_site_fract_x
_atom_site_fract_y
_atom_site_fract_z
Zn1 Zn 0.000 0.164 0.000
Ni1 Ni 0.000 0.168 0.500
Ni2 Ni 0.000 0.500 0.000
Ni3 Ni 0.000 0.500 0.500
Pd1 Pd 0.000 0.000 0.254
Pd2 Pd 0.000 0.334 0.253
```

---

[7]
VASP calculation (GGA-PBE) on crystalline Zn4Ni2Pd at its relaxed geometry.

Structure (CIF):
```
data_Zn4Ni2Pd
_chemical_formula_sum 'Zn8 Ni4 Pd2'
_cell_length_a 6.012
_cell_length_b 6.012
_cell_length_c 5.583
_cell_angle_alpha 90.00
_cell_angle_beta 90.00
_cell_angle_gamma 90.00
_symmetry_space_group_name_H-M 'I 4/m m m'
_symmetry_Int_Tables_number 139
_symmetry_space_group_name_Hall '-I 4 2'
loop_
_atom_site_label
_atom_site_type_symbol
_atom_site_fract_x
_atom_site_fract_y
_atom_site_fract_z
Zn1 Zn 0.250 0.250 0.250
Ni1 Ni 0.000 0.500 0.000
Pd1 Pd 0.000 0.000 0.000
```

---

[8]
VASP calculation (GGA-PBE) on crystalline Zn5Ni4Pd at its relaxed geometry.

Structure (CIF):
```
data_Zn5Ni4Pd
_chemical_formula_sum 'Zn5 Ni4 Pd1'
_cell_length_a 2.964
_cell_length_b 2.964
_cell_length_c 14.330
_cell_angle_alpha 90.00
_cell_angle_beta 90.00
_cell_angle_gamma 90.00
_symmetry_space_group_name_H-M 'P 4/m m m'
_symmetry_Int_Tables_number 123
_symmetry_space_group_name_Hall '-P 4 2'
loop_
_atom_site_label
_atom_site_type_symbol
_atom_site_fract_x
_atom_site_fract_y
_atom_site_fract_z
Zn1 Zn 0.000 0.000 0.000
Zn2 Zn 0.000 0.000 0.194
Zn3 Zn 0.000 0.000 0.387
Ni1 Ni 0.500 0.500 0.097
Ni2 Ni 0.500 0.500 0.291
Pd1 Pd 0.500 0.500 0.500
```

---

[9]
VASP calculation (GGA-PBE) on crystalline ZnNi2Pd8 at its relaxed geometry.

Structure (CIF):
```
data_ZnNi2Pd8
_chemical_formula_sum 'Zn2 Ni4 Pd16'
_cell_length_a 13.847
_cell_length_b 3.926
_cell_length_c 6.148
_cell_angle_alpha 90.00
_cell_angle_beta 106.20
_cell_angle_gamma 90.00
_symmetry_space_group_name_H-M 'C 1 2/m 1'
_symmetry_Int_Tables_number 12
loop_
_symmetry_equiv_pos_as_xyz
'x,y,z'
'-x,-y,-z'
'-x,y,-z'
'x,-y,z'
'x+1/2,y+1/2,z'
'-x+1/2,-y+1/2,-z'
'-x+1/2,y+1/2,-z'
'x+1/2,-y+1/2,z'
loop_
_atom_site_label
_atom_site_type_symbol
_atom_site_fract_x
_atom_site_fract_y
_atom_site_fract_z
Zn1 Zn 0.000 0.000 0.000
Ni1 Ni 0.226 0.500 0.636
Pd1 Pd 0.046 0.500 0.732
Pd2 Pd 0.097 0.000 0.459
Pd3 Pd 0.142 0.500 0.197
Pd4 Pd 0.181 0.000 0.918
```

---

[10]
VASP calculation (GGA-PBE) on crystalline Zn2NiPd2 at its relaxed geometry.

Structure (CIF):
```
data_Zn2NiPd2
_chemical_formula_sum 'Zn4 Ni2 Pd4'
_cell_length_a 6.304
_cell_length_b 6.304
_cell_length_c 3.638
_cell_angle_alpha 90.00
_cell_angle_beta 90.00
_cell_angle_gamma 90.00
_symmetry_space_group_name_H-M 'P 4/m b m'
_symmetry_Int_Tables_number 127
_symmetry_space_group_name_Hall '-P 4 2ab'
loop_
_atom_site_label
_atom_site_type_symbol
_atom_site_fract_x
_atom_site_fract_y
_atom_site_fract_z
Zn1 Zn 0.140 0.360 0.000
Ni1 Ni 0.000 0.000 0.000
Pd1 Pd 0.165 0.665 0.500
```

Values from the calculation:
distance to the lowest polymorph of the same formula = 59.9 meV/atom

---

[11]
VASP calculation (GGA-PBE) on crystalline ZnNiPd2 at its relaxed geometry.

Structure (CIF):
```
data_ZnNiPd2
_chemical_formula_sum 'Zn4 Ni4 Pd8'
_cell_length_a 3.744
_cell_length_b 3.744
_cell_length_c 17.596
_cell_angle_alpha 90.00
_cell_angle_beta 90.00
_cell_angle_gamma 90.00
_symmetry_space_group_name_H-M 'I -4 2 d'
_symmetry_Int_Tables_number 122
_symmetry_space_group_name_Hall 'I -4 2bw'
loop_
_atom_site_label
_atom_site_type_symbol
_atom_site_fract_x
_atom_site_fract_y
_atom_site_fract_z
Zn1 Zn 0.000 0.000 0.000
Ni1 Ni 0.000 0.000 0.500
Pd1 Pd 0.246 0.250 0.625
```

---

[12]
VASP calculation (GGA-PBE) on crystalline Zn8Ni2Pd at its relaxed geometry.

Structure (CIF):
```
data_Zn8Ni2Pd
_chemical_formula_sum 'Zn16 Ni4 Pd2'
_cell_length_a 13.596
_cell_length_b 3.782
_cell_length_c 6.186
_cell_angle_alpha 90.00
_cell_angle_beta 109.22
_cell_angle_gamma 90.00
_symmetry_space_group_name_H-M 'C 1 2/m 1'
_symmetry_Int_Tables_number 12
loop_
_symmetry_equiv_pos_as_xyz
'x,y,z'
'-x,-y,-z'
'-x,y,-z'
'x,-y,z'
'x+1/2,y+1/2,z'
'-x+1/2,-y+1/2,-z'
'-x+1/2,y+1/2,-z'
'x+1/2,-y+1/2,z'
loop_
_atom_site_label
_atom_site_type_symbol
_atom_site_fract_x
_atom_site_fract_y
_atom_site_fract_z
Zn1 Zn 0.047 0.000 0.227
Zn2 Zn 0.104 0.500 0.962
Zn3 Zn 0.144 0.000 0.702
Zn4 Zn 0.183 0.500 0.410
Ni1 Ni 0.227 0.000 0.145
Pd1 Pd 0.000 0.500 0.500
```

Values from the calculation:
distance to the lowest polymorph of the same formula = 0.0 meV/atom

---

In μB/f.u., the magnetization values for the records above are, in order, 2.12, 0.00, 0.81, 1.01, 0.84, 1.72, 0.00, 0.00, 3.45, 0.00, 0.00, 0.00.
In meV/atom, the energy of formation values for the records above are, in order, 69.6, 16.8, -147.5, -275.0, 938.1, -144.5, -241.8, -291.7, -96.0, -211.2, 121.4, -226.8.